Compound: Ti3PdN
Source: Alexandria via LeMat-Bulk
Functional: GGA-PBE
Structure: optimized geometry

Lattice parameters (Å, degrees): 5.2536 5.2536 9.3789 107.53 107.53 34.20
Positions (direct):
Ti (0.0000, 0.0000, 0.0000)
Ti (0.2232, 0.2232, 0.8624)
Ti (0.2508, 0.2508, 0.3821)
Ti (0.4669, 0.4669, 0.7177)
Ti (0.5183, 0.5183, 0.2729)
Ti (0.7710, 0.7710, 0.1282)
Pd (0.7387, 0.7387, 0.6232)
Pd (0.9789, 0.9789, 0.4850)
N (0.3796, 0.3796, 0.0607)
N (0.6126, 0.6126, 0.9237)

DFT total energy: -8.387 eV per atom
size of the total moment: 0.0 Bohr magnetons per cell
N(E_F): 3.3 states/eV/f.u.
uncorrected formation energy: -91.31 kJ per mole of atoms